(P)
## CaCuBr2 (PBE)

Data for a geometry-optimized CaCuBr2 structure.

## Properties
- M_tot (μB/cell) = 0.00

Unit cell a=6.472 b=6.472 c=3.957 alpha=90.00 beta=90.00 gamma=36.77
Fractional positions:
Br: 0.963 0.963 0.875
Br: 0.234 0.234 0.375
Cu: 0.742 0.742 0.875
Ca: 0.561 0.561 0.375


(Q)
## CaCuBr2 (PBE)

Data for a geometry-optimized CaCuBr2 structure.

## Properties
- M_tot (μB/cell) = 0.00

Unit cell a=4.867 b=4.868 c=3.873 alpha=90.00 beta=90.00 gamma=90.00
Fractional positions:
Ca: 0.500 0.000 0.500
Br: 0.500 0.500 0.000
Br: 0.000 0.000 0.000
Cu: 0.000 0.500 0.500


Most stable: (P). Least stable: (Q).


(P)
## CaBrF2 (PBE)

Data for a geometry-optimized CaBrF2 structure.

## Properties
- M_tot (μB/cell) = 0.55

Unit cell a=9.694 b=9.694 c=9.694 alpha=20.79 beta=20.79 gamma=20.79
Last column: magnetic moment on the atom in μB.
Fractional positions:
F: 0.131 0.131 0.131  0.00
F: 0.869 0.869 0.869  0.00
Ca: 0.500 0.500 0.500  0.00
Br: 0.000 0.000 0.000  0.41


(Q)
## CaBrF2 (PBE)

Data for a geometry-optimized CaBrF2 structure.

## Properties
- M_tot (μB/cell) = 1.00

Unit cell a=4.539 b=4.539 c=4.539 alpha=60.00 beta=60.00 gamma=60.00
Last column: magnetic moment on the atom in μB.
Fractional positions:
Ca: 0.000 0.000 0.000  0.00
F: 0.750 0.750 0.750  0.17
F: 0.250 0.250 0.250  0.17
Br: 0.500 0.500 0.500  0.50


Most stable: (P). Least stable: (Q).


(P)
## Ca2BrF2 (PBE)

Data for a geometry-optimized Ca2BrF2 structure.

## Properties
- M_tot (μB/cell) = 1.72

Unit cell a=6.999 b=6.999 c=7.467 alpha=117.95 beta=117.95 gamma=90.00
Last column: magnetic moment on the atom in μB.
Fractional positions:
Ca: 0.446 0.690 0.893  0.11
Ca: 0.940 0.196 0.393  0.11
Ca: 0.453 0.196 0.393  0.11
Ca: 0.446 0.203 0.893  0.11
Br: 0.990 0.990 0.980  0.03
Br: 0.240 0.740 0.480  0.03
F: 0.192 0.399 0.798  0.01
F: 0.606 0.399 0.798  0.01
F: 0.649 0.356 0.298  0.01
F: 0.649 0.942 0.298  0.01


(Q)
## Ca2BrF2 (PBE)

Data for a geometry-optimized Ca2BrF2 structure.

## Properties
- M_tot (μB/cell) = 0.83

Unit cell a=4.152 b=4.152 c=6.554 alpha=71.53 beta=71.53 gamma=90.00
Last column: magnetic moment on the atom in μB.
Fractional positions:
Br: 0.000 0.000 0.000  0.03
Ca: 0.350 0.350 0.300  0.14
Ca: 0.650 0.650 0.700  0.14
F: 0.750 0.250 0.500  0.00
F: 0.250 0.750 0.500  0.00


Most stable: (Q). Least stable: (P).


(P)
## CaSe2BrF (PBE)

Data for a geometry-optimized CaSe2BrF structure.

## Properties
- M_tot (μB/cell) = 4.01

Unit cell a=5.878 b=5.878 c=5.464 alpha=90.00 beta=90.00 gamma=90.00
Last column: magnetic moment on the atom in μB.
Fractional positions:
Se: 0.000 0.500 0.000  0.98
Se: 0.500 0.000 0.000  0.98
F: 0.500 0.500 0.500  0.45
Ca: 0.000 0.000 0.000  -0.01
Br: 0.000 0.000 0.500  0.16


(Q)
## CaSe2BrF (PBE)

Data for a geometry-optimized CaSe2BrF structure.

## Properties
- M_tot (μB/cell) = 0.00

Unit cell a=4.425 b=4.425 c=5.983 alpha=90.00 beta=90.00 gamma=90.00
Fractional positions:
Ca: 0.500 0.500 0.500
F: 0.000 0.000 0.000
Se: 0.000 0.500 0.000
Se: 0.500 0.000 0.000
Br: 0.000 0.000 0.500


Most stable: (Q). Least stable: (P).


(P)
## CaSeBr2F (PBE)

Data for a geometry-optimized CaSeBr2F structure.

## Properties
- M_tot (μB/cell) = 1.55

Unit cell a=5.567 b=5.567 c=6.125 alpha=90.00 beta=90.00 gamma=90.00
Last column: magnetic moment on the atom in μB.
Fractional positions:
Ca: 0.000 0.000 0.000  -0.01
F: 0.500 0.500 0.500  -0.43
Br: 0.000 0.500 0.000  0.08
Br: 0.500 0.000 0.000  0.08
Se: 0.000 0.000 0.500  1.11


(Q)
## CaSeBr2F (PBE)

Data for a geometry-optimized CaSeBr2F structure.

## Properties
- M_tot (μB/cell) = 0.89

Unit cell a=5.563 b=5.563 c=4.031 alpha=90.00 beta=90.00 gamma=90.00
Last column: magnetic moment on the atom in μB.
Fractional positions:
Ca: 0.500 0.500 0.500  0.00
Br: 0.500 0.000 0.000  0.10
Br: 0.000 0.500 0.000  0.10
Se: 0.000 0.000 0.500  0.41
F: 0.000 0.000 0.000  0.02


Most stable: (Q). Least stable: (P).


(P)
## Ca2FeBr2 (PBE)

Data for a geometry-optimized Ca2FeBr2 structure.

## Properties
- M_tot (μB/cell) = 4.87

Unit cell a=8.380 b=8.380 c=3.604 alpha=90.00 beta=90.00 gamma=90.00
Last column: magnetic moment on the atom in μB.
Fractional positions:
Br: 0.634 0.134 0.000  0.01
Br: 0.866 0.634 0.000  0.01
Br: 0.366 0.866 0.000  0.01
Br: 0.134 0.366 0.000  0.01
Ca: 0.326 0.174 0.500  -0.09
Ca: 0.174 0.674 0.500  -0.09
Ca: 0.674 0.826 0.500  -0.09
Ca: 0.826 0.326 0.500  -0.09
Fe: 0.000 0.000 0.000  2.94
Fe: 0.500 0.500 0.000  2.94


(Q)
## Ca2FeBr2 (PBE)

Data for a geometry-optimized Ca2FeBr2 structure.

## Properties
- M_tot (μB/cell) = 0.31

Unit cell a=5.877 b=5.877 c=5.745 alpha=59.24 beta=59.24 gamma=90.00
Last column: magnetic moment on the atom in μB.
Fractional positions:
Ca: 0.750 0.250 0.500  -0.17
Ca: 0.250 0.750 0.500  -0.17
Br: 0.709 0.709 0.583  -0.03
Br: 0.291 0.291 0.417  -0.03
Fe: 0.000 0.000 0.000  2.00


Most stable: (P). Least stable: (Q).